(1)
La2CdNi3Pt12 | Alexandria via LeMat-Bulk | GGA-PBE | relaxed; magnetization = 4.5 μB per cell; E_tot = -5.6138 eV per atom; E_form = -0.02 eV/atom; space-group type = No. 166; crystal system = trigonal
1.0
7.821 -0.217 -0.154
3.674 6.908 -0.154
3.674 2.138 6.570
Pt La Ni Cd
12 2 3 1
Cartesian
3.859 2.246 3.939
3.859 4.460 0.818
11.310 4.369 5.445
5.784 1.153 0.818
9.385 7.677 5.445
7.707 4.486 0.525
7.462 6.850 2.202
7.707 1.979 4.060
7.462 4.343 5.737
5.527 5.724 4.060
11.310 6.583 2.324
9.642 3.105 2.202
9.254 5.387 3.821
5.914 3.443 2.442
1.837 1.069 3.285
3.910 -0.108 -0.077
1.837 3.454 -0.077
0.000 0.000 0.000

---

(2)
RbLaCd2Ni | Alexandria via LeMat-Bulk | GGA-PBE | relaxed; magnetization = 0.0 μB per cell; E_tot = -2.7811 eV per atom; E_form = -0.08 eV/atom; space-group type = No. 123; crystal system = tetragonal
1.0
5.384 0.000 0.000
0.000 5.384 0.000
0.000 0.000 5.055
Cd La Rb Ni
2 1 1 1
Cartesian
2.692 0.000 0.000
0.000 2.692 0.000
0.000 0.000 2.527
2.692 2.692 2.527
0.000 0.000 0.000

---

(3)
LaCdReNi2 | Alexandria via LeMat-Bulk | GGA-PBE | relaxed; magnetization = 0.0 μB per cell; E_tot = -3.9684 eV per atom; E_form = 2.00 eV/atom; space-group type = No. 123; crystal system = tetragonal
1.0
-2.773 0.897 3.442
4.214 -0.544 3.536
0.912 4.398 -0.411
Re Ni La Cd
1 2 1 1
Cartesian
1.176 2.376 3.284
0.456 2.199 -0.205
-1.387 0.448 1.721
0.000 0.000 0.000
2.107 -0.272 1.768

---

(4)
La2CdReNi | Alexandria via LeMat-Bulk | GGA-PBE | relaxed; magnetization = 1.7 μB per cell; E_tot = -4.3282 eV per atom; E_form = 1.47 eV/atom; space-group type = No. 123; crystal system = tetragonal
1.0
-3.908 -2.529 -3.454
3.655 -1.864 -2.770
0.114 -4.737 3.339
Cd Ni La Re
1 1 2 1
Cartesian
0.000 0.000 0.000
-0.070 -4.565 -1.443
-1.954 -1.264 -1.727
0.057 -2.369 1.669
1.827 -0.932 -1.385

---

(5)
LaCd2NiRh | Alexandria via LeMat-Bulk | GGA-PBE | relaxed; magnetization = 1.1 μB per cell; E_tot = -2.5703 eV per atom; E_form = 1.41 eV/atom; space-group type = No. 123; crystal system = tetragonal
1.0
-3.861 -4.419 0.727
1.396 -1.878 -4.001
4.109 -3.114 2.896
La Cd Rh Ni
1 2 1 1
Cartesian
0.000 0.000 0.000
-1.931 -2.209 0.363
2.054 -1.557 1.448
0.822 -4.706 -0.189
0.698 -0.939 -2.000

---

(6)
La2CdNi4Sb3 | Alexandria via LeMat-Bulk | GGA-PBE | relaxed; magnetization = 0.0 μB per cell; E_tot = -5.2575 eV per atom; space-group type = No. 115; formation energy (no corrections) = -0.63 eV/atom; crystal system = tetragonal
1.0
4.462 0.000 0.000
0.000 4.462 0.000
0.000 0.000 10.223
Sb Ni Cd La
3 4 1 2
Cartesian
2.231 0.000 8.927
0.000 0.000 5.112
0.000 2.231 1.296
2.231 2.231 0.000
0.000 2.231 3.789
0.000 0.000 0.000
2.231 0.000 6.434
2.231 2.231 5.112
0.000 2.231 7.813
2.231 0.000 2.410

---

What did the sixth record say?
La2CdNi4Sb3 | Alexandria via LeMat-Bulk | GGA-PBE | relaxed; magnetization = 0.0 μB per cell; E_tot = -5.2575 eV per atom; space-group type = No. 115; formation energy (no corrections) = -0.63 eV/atom; crystal system = tetragonal
1.0
4.462 0.000 0.000
0.000 4.462 0.000
0.000 0.000 10.223
Sb Ni Cd La
3 4 1 2
Cartesian
2.231 0.000 8.927
0.000 0.000 5.112
0.000 2.231 1.296
2.231 2.231 0.000
0.000 2.231 3.789
0.000 0.000 0.000
2.231 0.000 6.434
2.231 2.231 5.112
0.000 2.231 7.813
2.231 0.000 2.410